TbTm2Cd4 after structural relaxation, computed with GGA-PBE.

Cell and atoms, written as extended XYZ:
```
7
Lattice="-2.644 2.644 6.880 2.644 -2.644 6.880 2.644 2.644 -6.880" Properties=species:S:1:pos:R:3 pbc="T T T"
Tb 0.000 0.000 0.000
Tm 0.000 0.000 3.542
Tm 0.000 0.000 10.217
Cd 2.644 0.000 1.616
Cd 2.644 0.000 5.263
Cd 0.000 2.644 1.616
Cd 0.000 2.644 5.263
```

Summary:
- VASP energy (eV per atom) = -2.607


Tm6Al2Au after structural relaxation, computed with GGA-PBE.

Cell and atoms, written as extended XYZ:
```
9
Lattice="-2.461 3.521 7.428 2.461 -3.521 7.428 2.461 3.521 -7.428" Properties=species:S:1:pos:R:3 pbc="T T T"
Tm 2.461 1.727 -2.441
Tm 0.000 1.713 0.000
Tm 2.461 1.727 2.441
Tm 0.000 1.794 4.986
Tm 0.000 5.330 0.000
Tm 0.000 1.794 9.869
Al 2.461 0.000 4.955
Al 0.000 3.521 2.473
Au 2.461 0.000 0.000
```

Summary:
- VASP energy (eV per atom) = -4.357


PuAsH after structural relaxation, computed with GGA-PBE.

Cell and atoms, written as extended XYZ:
```
3
Lattice="-1.545 1.545 5.191 1.545 -1.545 5.191 1.545 1.545 -5.191" Properties=species:S:1:pos:R:3 pbc="T T T"
Pu 0.000 0.000 0.000
As 0.000 0.000 7.374
H 0.000 0.000 4.437
```

Summary:
- VASP energy (eV per atom) = -7.779


La2AsBr after structural relaxation, computed with GGA-PBE.

Cell and atoms, written as extended XYZ:
```
8
Lattice="-3.425 3.425 6.806 3.425 -3.425 6.806 3.425 3.425 -6.806" Properties=species:S:1:pos:R:3 pbc="T T T"
La 5.137 1.560 -1.702
La 1.560 1.712 1.702
La -1.712 1.865 5.105
La 1.865 1.712 8.508
As 0.000 0.000 0.000
As 0.000 3.425 3.403
Br 3.425 0.000 3.403
Br 0.000 0.000 6.806
```

Summary:
- formation energy from raw total energies (meV/atom) = -1005


TaTc2Br after structural relaxation, computed with GGA-PBE.

Cell and atoms, written as extended XYZ:
```
4
Lattice="3.162 0.000 0.000 0.000 3.162 0.000 0.000 0.000 6.718" Properties=species:S:1:pos:R:3 pbc="T T T"
Ta 0.000 0.000 0.000
Tc 1.581 1.581 1.551
Tc 1.581 1.581 5.167
Br 0.000 0.000 3.359
```

Summary:
- formation energy from raw total energies (meV/atom) = 315


Pr4CdTc after structural relaxation, computed with GGA-PBE.

Cell and atoms, written as extended XYZ:
```
12
Lattice="4.534 -6.650 0.000 4.534 6.650 0.000 -2.008 0.000 6.121" Properties=species:S:1:pos:R:3 pbc="T T T"
Pr 1.655 4.415 5.826
Pr 1.362 1.081 3.741
Pr 4.402 4.415 3.355
Pr 2.366 -1.081 0.680
Pr 4.695 1.081 5.440
Pr 2.659 -4.415 2.766
Pr 5.699 -1.081 2.380
Pr 5.406 -4.415 0.295
Cd 4.032 1.633 1.530
Cd 3.029 -1.633 4.591
Tc 4.032 6.638 1.530
Tc 3.029 -6.638 4.591
```

Summary:
- VASP energy (eV per atom) = -5.161


B2SbPbO6 after structural relaxation, computed with GGA-PBE.

Cell and atoms, written as extended XYZ:
```
20
Lattice="4.217 -4.968 0.000 4.217 4.968 0.000 -1.899 0.000 6.251" Properties=species:S:1:pos:R:3 pbc="T T T"
B 1.479 1.395 1.657
B 0.529 -1.395 4.783
B 6.004 1.395 1.468
B 5.055 -1.395 4.594
Sb 2.792 0.968 4.689
Sb 3.742 -0.968 1.563
Pb 3.742 3.769 1.563
Pb 2.792 -3.769 4.689
O 1.114 2.208 4.561
O 0.917 0.544 0.792
O -0.032 -0.544 3.918
O 2.537 0.865 2.488
O 1.588 -0.865 5.614
O 4.470 2.208 4.816
O 2.064 -2.208 1.436
O 4.946 0.865 0.637
O 3.996 -0.865 3.763
O 6.566 0.544 2.334
O 5.617 -0.544 5.460
O 5.420 -2.208 1.690
```

Summary:
- formation energy from raw total energies (meV/atom) = -1726


Nd2AlIr3 after structural relaxation, computed with GGA-PBE.

Cell and atoms, written as extended XYZ:
```
6
Lattice="-2.101 2.748 5.620 2.101 -2.748 5.620 2.101 2.748 -5.620" Properties=species:S:1:pos:R:3 pbc="T T T"
Nd 0.000 0.000 2.055
Nd 0.000 0.000 9.185
Al 0.000 0.000 5.620
Ir 2.101 0.000 0.000
Ir 2.101 0.000 4.253
Ir 0.000 2.748 1.367
```

Summary:
- VASP energy (eV per atom) = -6.911